VASP calculation (PBE) on a relaxed La6Tb2PrEr crystal.

## Properties
Spin magnetization, μB per atom: 0.000
Raw total energy, eV per atom: -4.6312
Calculated formation energy, eV per formula unit: 1.86
DOS at the Fermi energy, states/eV per cell: 19.31

Lattice parameters (Å, degrees): 9.0239 7.2211 6.7476 122.35 102.19 90.00
With the nearest neighbours (Å) after each atom.
Atoms (fractional coordinates):
1 La 0.4311 0.6331 0.2663  5 La 3.56-3.78, 1 Pr 3.81
2 La 0.5689 0.3669 0.7337  5 La 3.56-3.78, 1 Pr 3.81
3 Tb 0.8324 0.9114 0.8228  1 Tb 3.19, 4 La 3.26-3.55, 1 Er 3.40
4 Tb 0.1676 0.0886 0.1772  1 Tb 3.19, 4 La 3.26-3.55, 1 Er 3.40
5 Er 0.5000 0.0000 0.0000  4 La 3.35, 2 Tb 3.40
6 La 0.7971 0.4033 0.3606  1 La 3.22, 2 Tb 3.26-3.55, 1 Er 3.35
7 La 0.2029 0.5967 0.6394  1 La 3.22, 2 Tb 3.26-3.55, 1 Er 3.35
8 La 0.7971 0.9573 0.3606  1 La 3.22, 2 Tb 3.26-3.55, 1 Er 3.35
9 La 0.2029 0.0427 0.6394  1 La 3.22, 2 Tb 3.26-3.55, 1 Er 3.35
10 Pr 0.0000 0.5000 0.0000  10 La 3.67-3.99, 4 Tb 3.95